# NdDyCdGa, relaxed, DFT PBE-GGA
# - energy above the most stable polymorph in this dataset (meV per atom) = 0
# - magnetic moment (μB per cell) = 0.000
# - DOS at the Fermi energy (states/eV/f.u.) = 2.72
# - ΔH_f (0 K) (eV per atom) = -0.450
data_NdDyCdGa
_cell_length_a 3.6592
_cell_length_b 3.6592
_cell_length_c 7.6647
_cell_angle_alpha 90.00
_cell_angle_beta 90.00
_cell_angle_gamma 90.00
_space_group_name_H-M_alt 'P 1'
_space_group_IT_number 1
_space_group_name_Hall 'P 1'
loop_
_atom_site_label
_atom_site_type_symbol
_atom_site_fract_x
_atom_site_fract_y
_atom_site_fract_z
Nd1 Nd 0.0000 0.0000 0.0000
Dy1 Dy 0.0000 0.0000 0.4670
Cd1 Cd 0.5000 0.5000 0.7180
Ga1 Ga 0.5000 0.5000 0.2459